# PBE-GGA ScCuP2, optimized geometry
data_ScCuP2
_space_group_name_H-M_alt 'P 1 2/m 1'
_space_group_IT_number 10
_cell_length_a 3.5393
_cell_length_b 3.6487
_cell_length_c 5.1223
_cell_angle_alpha 90.00
_cell_angle_beta 90.01
_cell_angle_gamma 90.00
loop_
_space_group_symop_operation_xyz
'x,y,z'
'-x,-y,-z'
'-x,y,-z'
'x,-y,z'
loop_
_atom_site_label
_atom_site_type_symbol
_atom_site_fract_x
_atom_site_fract_y
_atom_site_fract_z
_atom_site_occupancy
Sc1 Sc 0.0000 0.0000 0.0000 1
Cu1 Cu 0.5000 0.0000 0.5000 1
P1 P 0.4967 0.5000 0.7819 1
# * spin magnetization: 0.00 μB/cell
# * ρ: 4.28 Mg/m³
# * energy of formation from the pure elements: -2.33 eV per formula unit
# * final energy: -5.89 eV/atom

# PBE-GGA Na3Pm2ZnO6, optimized geometry
data_Na3Pm2ZnO6
_space_group_name_H-M_alt 'C 1 2/m 1'
_space_group_IT_number 12
_cell_length_a 5.8969
_cell_length_b 10.2837
_cell_length_c 5.9070
_cell_angle_alpha 90.00
_cell_angle_beta 108.54
_cell_angle_gamma 90.00
loop_
_space_group_symop_operation_xyz
'x,y,z'
'-x,-y,-z'
'-x,y,-z'
'x,-y,z'
'x+1/2,y+1/2,z'
'-x+1/2,-y+1/2,-z'
'-x+1/2,y+1/2,-z'
'x+1/2,-y+1/2,z'
loop_
_atom_site_label
_atom_site_type_symbol
_atom_site_fract_x
_atom_site_fract_y
_atom_site_fract_z
_atom_site_occupancy
Na1 Na 0.0000 0.0000 0.0000 1
Na2 Na 0.0000 0.3489 0.0000 1
Pm1 Pm 0.0000 0.1679 0.5000 1
Zn1 Zn 0.0000 0.5000 0.5000 1
O1 O 0.2307 0.3410 0.7214 1
O2 O 0.2427 0.5000 0.2920 1
# * spin magnetization: 2.27 μB/cell
# * ΔE_f (raw): -2.08 eV per atom
# * ρ: 5.09 Mg/m³
# * final energy: -5.79 eV/atom

# PBE-GGA YMg2Rh, optimized geometry
data_YMg2Rh
_space_group_name_H-M_alt 'I m m m'
_space_group_IT_number 71
_space_group_name_Hall '-I 2 2'
_cell_length_a 3.2836
_cell_length_b 4.8844
_cell_length_c 10.6900
_cell_angle_alpha 90.00
_cell_angle_beta 90.00
_cell_angle_gamma 90.00
loop_
_atom_site_label
_atom_site_type_symbol
_atom_site_fract_x
_atom_site_fract_y
_atom_site_fract_z
_atom_site_occupancy
Y1 Y 0.0000 0.0000 0.0000 1
Mg1 Mg 0.0000 0.5000 0.2058 1
Rh1 Rh 0.0000 0.0000 0.5000 1
# * spin magnetization: 0.00 μB/cell
# * ρ: 4.66 Mg/m³
# * energy of formation from the pure elements: -1.47 eV per formula unit
# * final energy: -4.62 eV/atom